1.
First-principles (PBE) data for a geometry-optimized Tb3PmTl5 structure, as listed in the Alexandria database.

Output
- electronic total energy (eV/atom) = -3.688

a = 9.438 Å, b = 9.438 Å, c = 6.584 Å
α = 90.00°, β = 90.00°, γ = 120.00°
Atoms (fractional coordinates):
Tb: 0.000 0.368 0.250
Tb: 0.000 0.632 0.750
Tb: 0.368 0.000 0.250
Tb: 0.368 0.368 0.750
Tb: 0.632 0.000 0.750
Tb: 0.632 0.632 0.250
Pm: 0.000 0.000 0.000
Pm: 0.000 0.000 0.500
Tl: 0.000 0.303 0.750
Tl: 0.000 0.697 0.250
Tl: 0.303 0.000 0.750
Tl: 0.303 0.303 0.250
Tl: 0.333 0.667 0.000
Tl: 0.333 0.667 0.500
Tl: 0.667 0.333 0.000
Tl: 0.667 0.333 0.500
Tl: 0.697 0.000 0.250
Tl: 0.697 0.697 0.750

2.
First-principles (PBE) data for a geometry-optimized HfTe2IrN structure, as listed in the Alexandria database.

Output
- electronic total energy (eV/atom) = -5.968
- energy relative to the elements, uncorrected (eV/atom) = 0.72
- energy above the lowest structure with this stoichiometry (eV/f.u.) = 2.102

a = 5.584 Å, b = 5.584 Å, c = 3.830 Å
α = 90.00°, β = 90.00°, γ = 90.00°
Atoms (fractional coordinates):
Hf: 0.000 0.000 0.000
Te: 0.000 0.500 0.000
Te: 0.500 0.000 0.000
Ir: 0.500 0.500 0.500
N: 0.000 0.000 0.500

3.
First-principles (PBE) data for a geometry-optimized Pu2Ge3Au structure, as listed in the Alexandria database.

Output
- electronic total energy (eV/atom) = -7.645

a = 8.850 Å, b = 8.583 Å, c = 5.751 Å
α = 73.27°, β = 68.24°, γ = 38.49°
Atoms (fractional coordinates):
Pu: 0.243 0.757 0.757
Pu: 0.250 0.250 0.250
Pu: 0.750 0.750 0.750
Pu: 0.757 0.243 0.243
Ge: 0.165 0.674 0.326
Ge: 0.167 0.167 0.833
Ge: 0.326 0.835 0.165
Ge: 0.674 0.165 0.835
Ge: 0.833 0.833 0.167
Ge: 0.835 0.326 0.674
Au: 0.337 0.337 0.663
Au: 0.663 0.663 0.337

4.
First-principles (PBE) data for a geometry-optimized Nd2Sm3Pb2 structure, as listed in the Alexandria database.

Output
- electronic total energy (eV/atom) = -4.618

a = 17.145 Å, b = 3.593 Å, c = 8.254 Å
α = 90.00°, β = 116.02°, γ = 90.00°
Atoms (fractional coordinates):
Nd: 0.123 0.000 0.473
Nd: 0.377 0.500 0.527
Nd: 0.623 0.500 0.473
Nd: 0.877 0.000 0.527
Sm: 0.000 0.000 0.000
Sm: 0.212 0.000 0.141
Sm: 0.288 0.500 0.859
Sm: 0.500 0.500 0.000
Sm: 0.712 0.500 0.141
Sm: 0.788 0.000 0.859
Pb: 0.077 0.500 0.765
Pb: 0.423 0.000 0.235
Pb: 0.577 0.000 0.765
Pb: 0.923 0.500 0.235

5.
First-principles (PBE) data for a geometry-optimized PAu2I8 structure, as listed in the Alexandria database.

Output
- electronic total energy (eV/atom) = -2.157
- energy relative to the elements, uncorrected (eV/atom) = 0.06

a = 7.734 Å, b = 8.201 Å, c = 8.867 Å
α = 76.33°, β = 83.96°, γ = 84.93°
Atoms (fractional coordinates):
P: 0.000 0.000 0.000
Au: 0.209 0.897 0.620
Au: 0.791 0.103 0.380
I: 0.063 0.331 0.972
I: 0.090 0.916 0.326
I: 0.342 0.936 0.885
I: 0.460 0.672 0.566
I: 0.540 0.328 0.434
I: 0.658 0.064 0.115
I: 0.910 0.084 0.674
I: 0.937 0.669 0.028

6.
First-principles (PBE) data for a geometry-optimized NaCr3Te structure, as listed in the Alexandria database.

Output
- electronic total energy (eV/atom) = -5.067
- energy relative to the elements, uncorrected (eV/atom) = 1.60
- energy above the lowest structure with this stoichiometry (eV/f.u.) = 2.818

a = 5.041 Å, b = 5.041 Å, c = 5.041 Å
α = 90.00°, β = 90.00°, γ = 90.00°
Atoms (fractional coordinates):
Na: 0.000 0.000 0.000
Cr: 0.000 0.000 0.500
Cr: 0.000 0.500 0.000
Cr: 0.500 0.000 0.000
Te: 0.500 0.500 0.500

7.
First-principles (PBE) data for a geometry-optimized KMg3Si4O12 structure, as listed in the Alexandria database.

Output
- electronic total energy (eV/atom) = -6.985
- energy relative to the elements, uncorrected (eV/atom) = -2.63

a = 5.327 Å, b = 5.327 Å, c = 10.359 Å
α = 94.32°, β = 94.32°, γ = 120.77°
Atoms (fractional coordinates):
K: 0.000 0.000 0.000
Mg: 0.165 0.835 0.500
Mg: 0.500 0.500 0.500
Mg: 0.835 0.165 0.500
Si: 0.259 0.592 0.770
Si: 0.408 0.741 0.230
Si: 0.592 0.259 0.770
Si: 0.741 0.408 0.230
O: 0.055 0.558 0.166
O: 0.128 0.128 0.405
O: 0.210 0.549 0.613
O: 0.442 0.945 0.834
O: 0.448 0.448 0.830
O: 0.451 0.790 0.387
O: 0.549 0.210 0.613
O: 0.552 0.552 0.170
O: 0.558 0.055 0.166
O: 0.790 0.451 0.387
O: 0.872 0.872 0.595
O: 0.945 0.442 0.834

8.
First-principles (PBE) data for a geometry-optimized Tm8Co3Pt2 structure, as listed in the Alexandria database.

Output
- electronic total energy (eV/atom) = -5.853

a = 8.214 Å, b = 4.670 Å, c = 8.217 Å
α = 90.00°, β = 109.76°, γ = 90.00°
Atoms (fractional coordinates):
Tm: 0.120 0.000 0.381
Tm: 0.132 0.500 0.871
Tm: 0.372 0.500 0.633
Tm: 0.379 0.000 0.120
Tm: 0.621 0.000 0.880
Tm: 0.628 0.500 0.367
Tm: 0.868 0.500 0.129
Tm: 0.880 0.000 0.619
Co: 0.255 0.000 0.754
Co: 0.500 0.500 0.000
Co: 0.745 0.000 0.246
Pt: 0.249 0.500 0.251
Pt: 0.751 0.500 0.749

9.
First-principles (PBE) data for a geometry-optimized AlTl4Ni2 structure, as listed in the Alexandria database.

Output
- electronic total energy (eV/atom) = -3.043

a = 5.360 Å, b = 5.360 Å, c = 12.896 Å
α = 90.00°, β = 90.00°, γ = 90.00°
Atoms (fractional coordinates):
Al: 0.000 0.000 0.000
Al: 0.500 0.500 0.500
Tl: 0.000 0.000 0.215
Tl: 0.000 0.000 0.785
Tl: 0.000 0.500 0.000
Tl: 0.000 0.500 0.500
Tl: 0.500 0.000 0.000
Tl: 0.500 0.000 0.500
Tl: 0.500 0.500 0.285
Tl: 0.500 0.500 0.715
Ni: 0.000 0.000 0.412
Ni: 0.000 0.000 0.588
Ni: 0.500 0.500 0.088
Ni: 0.500 0.500 0.912

10.
First-principles (PBE) data for a geometry-optimized InSiOsBr2 structure, as listed in the Alexandria database.

Output
- electronic total energy (eV/atom) = -3.316
- energy relative to the elements, uncorrected (eV/atom) = 1.23

a = 5.059 Å, b = 5.059 Å, c = 5.439 Å
α = 90.00°, β = 90.00°, γ = 90.00°
Atoms (fractional coordinates):
In: 0.000 0.000 0.000
Si: 0.000 0.000 0.500
Os: 0.500 0.500 0.000
Br: 0.000 0.500 0.500
Br: 0.500 0.000 0.500

11.
First-principles (PBE) data for a geometry-optimized ScMnSi2 structure, as listed in the Alexandria database.

Output
- electronic total energy (eV/atom) = -6.909
- energy relative to the elements, uncorrected (eV/atom) = -0.32

a = 3.899 Å, b = 3.899 Å, c = 3.867 Å
α = 90.00°, β = 90.00°, γ = 90.00°
Atoms (fractional coordinates):
Sc: 0.000 0.000 0.000
Mn: 0.500 0.500 0.000
Si: 0.000 0.500 0.500
Si: 0.500 0.000 0.500

12.
First-principles (PBE) data for a geometry-optimized Mg2ZrHg structure, as listed in the Alexandria database.

Output
- electronic total energy (eV/atom) = -3.037

a = 6.985 Å, b = 6.985 Å, c = 6.985 Å
α = 90.00°, β = 90.00°, γ = 90.00°
Atoms (fractional coordinates):
Mg: 0.000 0.000 0.000
Mg: 0.000 0.500 0.500
Mg: 0.250 0.250 0.250
Mg: 0.250 0.750 0.750
Mg: 0.500 0.000 0.500
Mg: 0.500 0.500 0.000
Mg: 0.750 0.250 0.750
Mg: 0.750 0.750 0.250
Zr: 0.250 0.250 0.750
Zr: 0.250 0.750 0.250
Zr: 0.750 0.250 0.250
Zr: 0.750 0.750 0.750
Hg: 0.000 0.000 0.500
Hg: 0.000 0.500 0.000
Hg: 0.500 0.000 0.000
Hg: 0.500 0.500 0.500

13.
First-principles (PBE) data for a geometry-optimized BaLi9Au3 structure, as listed in the Alexandria database.

Output
- electronic total energy (eV/atom) = -2.549

a = 7.300 Å, b = 7.300 Å, c = 7.243 Å
α = 98.00°, β = 98.00°, γ = 134.54°
Atoms (fractional coordinates):
Ba: 0.000 0.000 0.000
Li: 0.034 0.671 0.653
Li: 0.258 0.501 0.765
Li: 0.329 0.966 0.347
Li: 0.499 0.742 0.235
Li: 0.500 0.500 0.500
Li: 0.501 0.258 0.765
Li: 0.671 0.034 0.653
Li: 0.742 0.499 0.235
Li: 0.966 0.329 0.347
Au: 0.000 0.000 0.500
Au: 0.000 0.500 0.000
Au: 0.500 0.000 0.000

14.
First-principles (PBE) data for a geometry-optimized TlTeF5 structure, as listed in the Alexandria database.

Output
- electronic total energy (eV/atom) = -4.151
- energy relative to the elements, uncorrected (eV/atom) = -2.03
- energy above the lowest structure with this stoichiometry (eV/f.u.) = 0.616

a = 6.831 Å, b = 6.831 Å, c = 8.765 Å
α = 116.53°, β = 116.53°, γ = 70.81°
Atoms (fractional coordinates):
Tl: 0.008 0.992 0.750
Tl: 0.992 0.008 0.250
Te: 0.500 0.500 0.000
Te: 0.500 0.500 0.500
F: 0.236 0.756 0.016
F: 0.244 0.764 0.484
F: 0.276 0.287 0.352
F: 0.287 0.276 0.852
F: 0.475 0.525 0.750
F: 0.525 0.475 0.250
F: 0.713 0.724 0.148
F: 0.724 0.713 0.648
F: 0.756 0.236 0.516
F: 0.764 0.244 0.984

15.
First-principles (PBE) data for a geometry-optimized Ho4Zn3Au structure, as listed in the Alexandria database.

Output
- electronic total energy (eV/atom) = -3.660
- energy above the lowest structure with this stoichiometry (eV/f.u.) = 0.000

a = 3.574 Å, b = 3.574 Å, c = 14.117 Å
α = 90.00°, β = 90.00°, γ = 90.00°
Atoms (fractional coordinates):
Ho: 0.000 0.000 0.124
Ho: 0.000 0.000 0.374
Ho: 0.000 0.000 0.626
Ho: 0.000 0.000 0.876
Zn: 0.500 0.500 0.000
Zn: 0.500 0.500 0.246
Zn: 0.500 0.500 0.754
Au: 0.500 0.500 0.500

16.
First-principles (PBE) data for a geometry-optimized Rb3Ba2RhO6 structure, as listed in the Alexandria database.

Output
- electronic total energy (eV/atom) = -5.143
- energy relative to the elements, uncorrected (eV/atom) = -1.49

a = 6.475 Å, b = 6.475 Å, c = 6.794 Å
α = 98.99°, β = 98.99°, γ = 120.19°
Atoms (fractional coordinates):
Rb: 0.000 0.000 0.000
Rb: 0.342 0.658 0.000
Rb: 0.658 0.342 0.000
Ba: 0.167 0.833 0.500
Ba: 0.833 0.167 0.500
Rh: 0.500 0.500 0.500
O: 0.177 0.439 0.317
O: 0.295 0.295 0.683
O: 0.439 0.177 0.317
O: 0.561 0.823 0.683
O: 0.705 0.705 0.317
O: 0.823 0.561 0.683

17.
First-principles (PBE) data for a geometry-optimized Zn3SeN structure, as listed in the Alexandria database.

Output
- electronic total energy (eV/atom) = -2.986
- energy relative to the elements, uncorrected (eV/atom) = 0.14
- energy above the lowest structure with this stoichiometry (eV/f.u.) = 0.000

a = 4.254 Å, b = 4.254 Å, c = 4.254 Å
α = 90.00°, β = 90.00°, γ = 90.00°
Atoms (fractional coordinates):
Zn: 0.000 0.000 0.500
Zn: 0.000 0.500 0.000
Zn: 0.500 0.000 0.000
Se: 0.500 0.500 0.500
N: 0.000 0.000 0.000

18.
First-principles (PBE) data for a geometry-optimized La2Pr12Tl structure, as listed in the Alexandria database.

Output
- electronic total energy (eV/atom) = -4.445

a = 6.861 Å, b = 6.861 Å, c = 24.093 Å
α = 90.00°, β = 90.00°, γ = 90.00°
Atoms (fractional coordinates):
La: 0.250 0.750 0.248
La: 0.250 0.750 0.752
La: 0.750 0.250 0.248
La: 0.750 0.250 0.752
Pr: 0.004 0.504 0.092
Pr: 0.004 0.996 0.908
Pr: 0.084 0.584 0.565
Pr: 0.084 0.916 0.435
Pr: 0.250 0.250 0.200
Pr: 0.250 0.250 0.330
Pr: 0.250 0.250 0.670
Pr: 0.250 0.250 0.800
Pr: 0.416 0.584 0.435
Pr: 0.416 0.916 0.565
Pr: 0.496 0.504 0.908
Pr: 0.496 0.996 0.092
Pr: 0.504 0.004 0.908
Pr: 0.504 0.496 0.092
Pr: 0.584 0.084 0.435
Pr: 0.584 0.416 0.565
Pr: 0.750 0.750 0.200
Pr: 0.750 0.750 0.330
Pr: 0.750 0.750 0.670
Pr: 0.750 0.750 0.800
Pr: 0.916 0.084 0.565
Pr: 0.916 0.416 0.435
Pr: 0.996 0.004 0.092
Pr: 0.996 0.496 0.908
Tl: 0.250 0.750 0.000
Tl: 0.750 0.250 0.000

19.
First-principles (PBE) data for a geometry-optimized U3GaNi8 structure, as listed in the Alexandria database.

Output
- electronic total energy (eV/atom) = -7.197

a = 8.479 Å, b = 8.479 Å, c = 8.479 Å
α = 33.87°, β = 33.87°, γ = 33.87°
Atoms (fractional coordinates):
U: 0.000 0.000 0.000
U: 0.120 0.120 0.120
U: 0.625 0.625 0.625
Ga: 0.499 0.499 0.499
Ni: 0.060 0.060 0.559
Ni: 0.060 0.559 0.060
Ni: 0.067 0.562 0.562
Ni: 0.311 0.311 0.311
Ni: 0.559 0.060 0.060
Ni: 0.562 0.067 0.562
Ni: 0.562 0.562 0.067
Ni: 0.812 0.812 0.812

20.
First-principles (PBE) data for a geometry-optimized SiSbP4 structure, as listed in the Alexandria database.

Output
- electronic total energy (eV/atom) = -4.455
- energy relative to the elements, uncorrected (eV/atom) = 0.74

a = 5.485 Å, b = 5.485 Å, c = 5.485 Å
α = 60.00°, β = 60.00°, γ = 60.00°
Atoms (fractional coordinates):
Si: 0.000 0.000 0.000
Sb: 0.250 0.250 0.250
P: 0.063 0.646 0.646
P: 0.646 0.063 0.646
P: 0.646 0.646 0.063
P: 0.646 0.646 0.646